# HfUBi PBE optimized geometry
data_HfUBi
_cell_length_a 5.0005
_cell_length_b 5.0005
_cell_length_c 22.5771
_cell_angle_alpha 90.00
_cell_angle_beta 90.00
_cell_angle_gamma 120.00
_space_group_name_H-M_alt 'R -3 m'
_space_group_IT_number 166
_space_group_name_Hall '-R 3 2"'
loop_
_atom_site_label
_atom_site_type_symbol
_atom_site_fract_x
_atom_site_fract_y
_atom_site_fract_z
_atom_site_occupancy
Hf1 Hf 0.0000 0.0000 0.0662 1
U1 U 0.0000 0.0000 0.3455 1
Bi1 Bi 0.0000 0.0000 0.2091 1
# V   81.5 Å³/f.u.
# DFT total energy   -0.3002 hartree per atom
# Mass density   12.747 g/cm3